[1]
! Zn3AsRh | Alexandria | PBE | relaxed; values from VASP
&SYSTEM
  ibrav = 0, nat = 5, ntyp = 3
/
ATOMIC_SPECIES
Zn 65.41 Zn.upf
As 74.92 As.upf
Rh 102.91 Rh.upf
CELL_PARAMETERS angstrom
4.7240 0.0000 0.0000
0.0000 4.7240 0.0000
0.0000 0.0000 4.7240
ATOMIC_POSITIONS crystal
Zn 0.0000 0.0000 0.5000
Zn 0.0000 0.5000 0.0000
Zn 0.5000 0.0000 0.0000
As 0.5000 0.5000 0.5000
Rh 0.0000 0.0000 0.0000
! calculated formation energy	41.5	kJ per mole of atoms
! Fermi-level density of states	3.4	states/eV/f.u.
! density	5.9	g/cm³
! total energy	-2.7342	eV/atom

---

[2]
! SiAgSe2 | Alexandria | PBE | relaxed; values from VASP
&SYSTEM
  ibrav = 0, nat = 4, ntyp = 3
/
ATOMIC_SPECIES
Si 28.09 Si.upf
Ag 107.87 Ag.upf
Se 78.96 Se.upf
CELL_PARAMETERS angstrom
3.2356 -1.8723 0.0000
3.2356 1.8723 0.0000
-2.1577 0.0000 6.6320
ATOMIC_POSITIONS crystal
Si 0.0000 0.0000 0.0000
Ag 0.5000 0.5000 0.5000
Se 0.2597 0.2597 0.7794
Se 0.7403 0.7403 0.2206
! Fermi-level density of states	1.1	states/eV/f.u.
! density	6.1	g/cm³
! total energy	-3.9270	eV/atom

---

[3]
! Mg2Zn | Alexandria | PBE | relaxed; values from VASP
&SYSTEM
  ibrav = 0, nat = 6, ntyp = 2
/
ATOMIC_SPECIES
Mg 24.30 Mg.upf
Zn 65.41 Zn.upf
CELL_PARAMETERS angstrom
0.0000 4.0315 4.0315
4.0315 0.0000 4.0315
4.0315 4.0315 0.0000
ATOMIC_POSITIONS crystal
Mg 0.0000 0.0000 0.0000
Mg 0.0000 0.0000 0.5000
Mg 0.0000 0.5000 0.0000
Mg 0.5000 0.0000 0.0000
Zn 0.3750 0.3750 0.3750
Zn 0.6250 0.6250 0.6250
! calculated formation energy	21.2	kJ per mole of atoms
! Fermi-level density of states	1.0	states/eV/f.u.
! density	2.9	g/cm³
! total energy	-1.2676	eV/atom

---

[4]
! LiUBi2Se6 | Alexandria | PBE | relaxed; values from VASP
&SYSTEM
  ibrav = 0, nat = 10, ntyp = 4
/
ATOMIC_SPECIES
Li 6.94 Li.upf
U 238.03 U.upf
Bi 208.98 Bi.upf
Se 78.96 Se.upf
CELL_PARAMETERS angstrom
7.3483 0.0000 0.0000
0.0000 7.3483 0.0000
0.0000 0.0000 5.5198
ATOMIC_POSITIONS crystal
Li 0.0000 0.0000 0.0000
U 0.5000 0.5000 0.1008
Bi 0.0000 0.5000 0.3649
Bi 0.5000 0.0000 0.3649
Se 0.0000 0.0000 0.5400
Se 0.2403 0.2403 0.1045
Se 0.2403 0.7597 0.1045
Se 0.5000 0.5000 0.6036
Se 0.7597 0.2403 0.1045
Se 0.7597 0.7597 0.1045
! Fermi-level density of states	6.0	states/eV/f.u.
! density	6.3	g/cm³
! total energy	-4.6176	eV/atom

---

[5]
! GaBrF | Alexandria | PBE | relaxed; values from VASP
&SYSTEM
  ibrav = 0, nat = 6, ntyp = 3
/
ATOMIC_SPECIES
Ga 69.72 Ga.upf
Br 79.90 Br.upf
F 19.00 F.upf
CELL_PARAMETERS angstrom
6.1449 -3.4231 0.0000
6.1449 3.4231 0.0000
-1.0603 0.0000 3.5660
ATOMIC_POSITIONS crystal
Ga 0.0000 0.0000 0.0000
Ga 0.5795 0.5795 0.6883
Br 0.4260 0.4260 0.0458
Br 0.7311 0.7311 0.3362
F 0.2999 0.8563 0.6892
F 0.8563 0.2999 0.6892
! Fermi-level density of states	0.0	states/eV/f.u.
! density	3.7	g/cm³
! total energy	-3.6205	eV/atom

---

[6]
! MgOs | Alexandria | PBE | relaxed; values from VASP
&SYSTEM
  ibrav = 0, nat = 16, ntyp = 2
/
ATOMIC_SPECIES
Mg 24.30 Mg.upf
Os 190.23 Os.upf
CELL_PARAMETERS angstrom
9.8557 0.0000 0.0000
0.0000 9.8557 0.0000
0.0000 0.0000 2.8773
ATOMIC_POSITIONS crystal
Mg 0.0407 0.7950 0.0000
Mg 0.2050 0.0407 0.0000
Mg 0.2101 0.3145 0.5000
Mg 0.3145 0.7899 0.5000
Mg 0.6855 0.2101 0.5000
Mg 0.7899 0.6855 0.5000
Mg 0.7950 0.9593 0.0000
Mg 0.9593 0.2050 0.0000
Os 0.1016 0.5682 0.5000
Os 0.3245 0.5376 0.0000
Os 0.4318 0.1016 0.5000
Os 0.4624 0.3245 0.0000
Os 0.5376 0.6755 0.0000
Os 0.5682 0.8984 0.5000
Os 0.6755 0.4624 0.0000
Os 0.8984 0.4318 0.5000
! calculated formation energy	28.7	kJ per mole of atoms
! Fermi-level density of states	1.1	states/eV/f.u.
! density	10.2	g/cm³
! total energy	-6.1151	eV/atom

---

[7]
! Tb2BeZn12Cu3 | Alexandria | PBE | relaxed; values from VASP
&SYSTEM
  ibrav = 0, nat = 18, ntyp = 4
/
ATOMIC_SPECIES
Tb 158.93 Tb.upf
Be 9.01 Be.upf
Zn 65.41 Zn.upf
Cu 63.55 Cu.upf
CELL_PARAMETERS angstrom
2.8674 1.6555 10.8967
-2.8674 1.6555 10.8967
0.0000 -3.3110 10.8967
ATOMIC_POSITIONS crystal
Tb 0.1405 0.1405 0.1405
Tb 0.8595 0.8595 0.8595
Be 0.5000 0.5000 0.5000
Zn 0.0973 0.0973 0.6433
Zn 0.0973 0.6433 0.0973
Zn 0.1171 0.6102 0.6102
Zn 0.3567 0.9027 0.9027
Zn 0.3898 0.3898 0.8829
Zn 0.3898 0.8829 0.3898
Zn 0.6102 0.1171 0.6102
Zn 0.6102 0.6102 0.1171
Zn 0.6433 0.0973 0.0973
Zn 0.8829 0.3898 0.3898
Zn 0.9027 0.3567 0.9027
Zn 0.9027 0.9027 0.3567
Cu 0.0000 0.5000 0.5000
Cu 0.5000 0.0000 0.5000
Cu 0.5000 0.5000 0.0000
! calculated formation energy	1.6	kJ per mole of atoms
! Fermi-level density of states	10.5	states/eV/f.u.
! density	7.0	g/cm³
! total energy	-2.2368	eV/atom

---

[8]
! Cs12K | Alexandria | PBE | relaxed; values from VASP
&SYSTEM
  ibrav = 0, nat = 13, ntyp = 2
/
ATOMIC_SPECIES
Cs 132.91 Cs.upf
K 39.10 K.upf
CELL_PARAMETERS angstrom
-7.1850 7.1850 7.1850
7.1850 -7.1850 7.1850
7.1850 7.1850 -7.1850
ATOMIC_POSITIONS crystal
Cs 0.1338 0.8212 0.3126
Cs 0.1788 0.3126 0.4914
Cs 0.1788 0.6874 0.8662
Cs 0.3126 0.1338 0.8212
Cs 0.3126 0.4914 0.1788
Cs 0.4914 0.1788 0.3126
Cs 0.5086 0.8212 0.6874
Cs 0.6874 0.5086 0.8212
Cs 0.6874 0.8662 0.1788
Cs 0.8212 0.3126 0.1338
Cs 0.8212 0.6874 0.5086
Cs 0.8662 0.1788 0.6874
K 0.0000 0.0000 0.0000
! calculated formation energy	1.4	kJ per mole of atoms
! Fermi-level density of states	14.5	states/eV/f.u.
! density	1.8	g/cm³
! total energy	-0.8579	eV/atom